Record 1
The following is a PBEsol calculation of YHgI2 after structural relaxation, from Alexandria via LeMat-Bulk.

a b c (Å): 5.450 5.450 5.450
angles (deg): 60.00 60.00 60.00
Fractional coordinates of all 4 atoms:
Y1 0.000 0.000 0.000
Hg1 0.500 0.500 0.500
I1 0.250 0.250 0.250
I2 0.750 0.750 0.750

## Properties
The value obtained for the total energy is -3.36 eV per atom. The value obtained for the density is 7.9 g/cm³. As for the formation energy without anion corrections: -0.625 eV per atom.

***

Record 2
The following is a PBEsol calculation of Si2AsRh after structural relaxation, from Alexandria via LeMat-Bulk.

a b c (Å): 2.787 4.543 4.602
angles (deg): 90.00 90.00 90.00
Fractional coordinates of all 4 atoms:
Si1 0.000 0.000 0.000
Si2 0.500 0.000 0.500
As1 0.000 0.500 0.500
Rh1 0.500 0.500 0.000

## Properties
The value obtained for the total energy is -6.05 eV per atom. The value obtained for the density is 6.7 g/cm³. As for the energy above the most stable polymorph in this dataset: 150 kJ/mol of formula units. As for the formation energy without anion corrections: 0.137 eV per atom.

***

Record 3
The following is a PBEsol calculation of AlRh after structural relaxation, from Alexandria via LeMat-Bulk.

a b c (Å): 3.173 3.173 5.520
angles (deg): 90.00 90.00 90.00
Fractional coordinates of all 4 atoms:
Al1 0.250 0.250 0.145
Al2 0.750 0.750 0.855
Rh1 0.250 0.250 0.665
Rh2 0.750 0.750 0.335

## Properties
The value obtained for the total energy is -6.78 eV per atom. Its formation energy is -0.6638 eV/atom. The value obtained for the density is 7.8 g/cm³.

***

Record 4
The following is a PBEsol calculation of HfNbGeF2 after structural relaxation, from Alexandria via LeMat-Bulk.

a b c (Å): 3.971 3.971 5.754
angles (deg): 90.00 90.00 90.00
Fractional coordinates of all 5 atoms:
Hf1 0.000 0.000 0.000
Nb1 0.000 0.000 0.500
Ge1 0.500 0.500 0.000
F1 0.000 0.500 0.500
F2 0.500 0.000 0.500

## Properties
The value obtained for the total energy is -7.06 eV per atom. The value obtained for the density is 7.0 g/cm³. As for the formation energy without anion corrections: -1.040 eV per atom.

***

Spin magnetization? In order: 0.202 0.000 0.000 0.000 μB per atom.